Below is Ca2YCu after structural relaxation, with properties calculated at the GGA-PBEsol level.

abc: 3.4665 6.0037 6.3172
angles: 115.75 101.76 98.53
Closest atoms and distances in Å follow each position.
Element x y z (fractional)
Ca: 0.0000 0.0000 0.5000  4 Ca 3.24-3.47, 2 Cu 3.28, 2 Y 3.28
Ca: 0.5000 0.5000 0.5000  4 Ca 3.24-3.47, 2 Y 3.28, 2 Cu 3.28
Y: 0.5000 0.0000 0.0000  2 Cu 3.24, 4 Ca 3.28, 2 Y 3.47
Cu: 0.0000 0.5000 0.0000  2 Y 3.24, 4 Ca 3.28, 2 Cu 3.47

Computed properties:
DOS(E_F)	3.4	states/eV per cell
energy of formation from the pure elements	0.34	eV per atom
crystal system	monoclinic
space-group type	C2/m (12)



Below is Li3V2O4F4 after structural relaxation, with properties calculated at the GGA-PBEsol level.

abc: 4.8803 7.1298 7.5733
angles: 101.65 90.01 90.03
Closest atoms and distances in Å follow each position.
Element x y z (fractional)
O: 0.4436 0.7933 0.9621  2 V 1.82-1.84, 1 Li 2.03
O: 0.8663 0.9508 0.8259  1 V 1.69
O: 0.6073 0.4459 0.8117  1 V 1.71
O: 0.1077 0.0540 0.1882  1 V 1.71
O: 0.9435 0.7066 0.0379  2 V 1.82-1.84, 1 Li 2.03
O: 0.3665 0.5493 0.1743  1 V 1.69
O: 0.0490 0.3031 0.9627  2 V 1.80-1.82, 1 Li 1.99
O: 0.5490 0.1970 0.0373  2 V 1.80-1.82, 1 Li 1.99
F: 0.4301 0.3010 0.3880  2 Li 1.81-1.86, 1 V 1.94
F: 0.0901 0.7989 0.3975  1 V 1.92, 2 Li 1.93-1.95
F: 0.0738 0.5897 0.7029  1 Li 1.88, 1 V 1.97
F: 0.9422 0.3990 0.3122  1 V 1.95, 2 Li 1.95-1.97
F: 0.9301 0.1992 0.6121  2 Li 1.81-1.86, 1 V 1.94
F: 0.5900 0.7011 0.6025  1 V 1.92, 2 Li 1.93-1.95
F: 0.4422 0.1007 0.6876  2 Li 1.95-1.97, 1 V 1.95
F: 0.5742 0.9107 0.2971  1 Li 1.88, 1 V 1.97
V: 0.2611 0.3212 0.1606  3 O 1.69-1.82
V: 0.2314 0.8267 0.1673  3 O 1.71-1.84
V: 0.7610 0.1788 0.8394  3 O 1.69-1.82
V: 0.7313 0.6733 0.8327  3 O 1.71-1.84
Li: 0.7539 0.6479 0.3662  3 F 1.93-1.97
Li: 0.2538 0.8518 0.6338  3 F 1.93-1.97
Li: 0.2409 0.5313 0.9091  1 F 1.88, 5 O 1.98-2.08
Li: 0.7412 0.9688 0.0909  1 F 1.88, 5 O 1.98-2.08
Li: 0.7707 0.1845 0.3932  3 F 1.81-1.95
Li: 0.2712 0.3152 0.6070  3 F 1.81-1.95

Computed properties:
DOS(E_F)	4.9	states/eV per cell
energy relative to the elements, uncorrected	-2.619	eV/atom
crystal system	monoclinic
space-group type	P2_1 (4)